This record from Alexandria via LeMat-Bulk describes an optimized crystal structure of ZnCu. The functional is GGA-PBE.

a b c (Å): 3.4867 3.4867 2.5450
angles (deg): 90.00 90.00 90.00
Closest atoms and distances in Å follow each position.
Element x y z (fractional)
Zn1 0.0000 0.0000 0.0000  4 Cu 2.47, 2 Zn 2.55
Cu1 0.5000 0.5000 0.0000  4 Zn 2.47, 2 Cu 2.55

Values from the calculation:
Its space-group type is P4/mmm. The calculation puts the formation energy from the elements at 0.327 eV per atom. Its total magnetization is 0.00 μB/atom. The value obtained for the calculated total energy is -2.3584 eV per atom. As for the density of states at the Fermi level: 0.335 states/eV per atom. Its volume is 15.471 A^3/atom.